# YTlPd

A PBEsol-optimized structure of YTlPd (SCAN, Alexandria).

Uncorrected energy, eV per atom: -45.13
Formation energy from the elements, eV/atom: -0.81

Unit cell a=7.6499 b=7.6499 c=3.8100 alpha=90.00 beta=90.00 gamma=120.00
Closest atoms and distances in Å follow each position.
Atoms (fractional coordinates):
Y: 0.0000 0.5947 0.0000  5 Pd 3.01-3.10, 6 Tl 3.16-3.33
Y: 0.4053 0.4053 0.0000  5 Pd 3.01-3.10, 6 Tl 3.16-3.33
Y: 0.5947 0.0000 0.0000  5 Pd 3.01-3.10, 6 Tl 3.16-3.33
Tl: 0.0000 0.2646 0.5000  4 Pd 2.78-2.85
Tl: 0.2646 0.0000 0.5000  4 Pd 2.78-2.85
Tl: 0.7354 0.7354 0.5000  4 Pd 2.78-2.85
Pd: 0.0000 0.0000 0.0000  6 Tl 2.78, 3 Y 3.10
Pd: 0.3333 0.6667 0.5000  3 Tl 2.85, 6 Y 3.01
Pd: 0.6667 0.3333 0.5000  3 Tl 2.85, 6 Y 3.01

# TlZn2Pd2

A PBEsol-optimized structure of TlZn2Pd2 (SCAN, Alexandria).

Uncorrected energy, eV per atom: -33.12
Formation energy from the elements, eV/atom: -0.13

Unit cell a=3.9803 b=3.9803 c=11.1317 alpha=90.00 beta=90.00 gamma=90.00
Closest atoms and distances in Å follow each position.
Atoms (fractional coordinates):
Tl: 0.0000 0.0000 0.0000  8 Zn 3.08, 8 Pd 3.42
Tl: 0.5000 0.5000 0.5000  8 Zn 3.08, 8 Pd 3.42
Zn: 0.0000 0.0000 0.3885  1 Zn 2.48, 4 Pd 2.52
Zn: 0.0000 0.0000 0.6115  1 Zn 2.48, 4 Pd 2.52
Zn: 0.5000 0.5000 0.1115  1 Zn 2.48, 4 Pd 2.52
Zn: 0.5000 0.5000 0.8885  1 Zn 2.48, 4 Pd 2.52
Pd: 0.0000 0.5000 0.2500  4 Zn 2.52, 4 Pd 2.81
Pd: 0.0000 0.5000 0.7500  4 Zn 2.52, 4 Pd 2.81
Pd: 0.5000 0.0000 0.2500  4 Zn 2.52, 4 Pd 2.81
Pd: 0.5000 0.0000 0.7500  4 Zn 2.52, 4 Pd 2.81

# TlZn2Pd2

A PBEsol-optimized structure of TlZn2Pd2 (SCAN, Alexandria).

Uncorrected energy, eV per atom: -33.22
Formation energy from the elements, eV/atom: -0.24

Unit cell a=3.5707 b=3.5707 c=13.0124 alpha=90.00 beta=90.00 gamma=90.00
Closest atoms and distances in Å follow each position.
Atoms (fractional coordinates):
Tl: 0.0000 0.0000 0.0000  8 Pd 2.87
Tl: 0.5000 0.5000 0.5000  8 Pd 2.87
Zn: 0.0000 0.5000 0.2500  4 Zn 2.52, 4 Pd 2.59
Zn: 0.0000 0.5000 0.7500  4 Zn 2.52, 4 Pd 2.59
Zn: 0.5000 0.0000 0.2500  4 Zn 2.52, 4 Pd 2.59
Zn: 0.5000 0.0000 0.7500  4 Zn 2.52, 4 Pd 2.59
Pd: 0.0000 0.0000 0.3945  4 Zn 2.59, 1 Pd 2.74, 4 Tl 2.87
Pd: 0.0000 0.0000 0.6055  4 Zn 2.59, 1 Pd 2.74, 4 Tl 2.87
Pd: 0.5000 0.5000 0.1055  4 Zn 2.59, 1 Pd 2.74, 4 Tl 2.87
Pd: 0.5000 0.5000 0.8945  4 Zn 2.59, 1 Pd 2.74, 4 Tl 2.87

# ZrTl3Pd

A PBEsol-optimized structure of ZrTl3Pd (SCAN, Alexandria).

Uncorrected energy, eV per atom: -55.58
Formation energy from the elements, eV/atom: 0.53

Unit cell a=5.0812 b=5.0812 c=5.0812 alpha=90.00 beta=90.00 gamma=90.00
Closest atoms and distances in Å follow each position.
Atoms (fractional coordinates):
Zr: 0.0000 0.0000 0.0000  12 Tl 3.59
Tl: 0.0000 0.5000 0.5000  2 Pd 2.54
Tl: 0.5000 0.0000 0.5000  2 Pd 2.54
Tl: 0.5000 0.5000 0.0000  2 Pd 2.54
Pd: 0.5000 0.5000 0.5000  6 Tl 2.54